This record from OQMD describes crystalline LiYHg2 at its relaxed geometry. The functional is PBE.

a b c (Å): 5.1586 5.1586 8.3674
angles (deg): 90.00 90.00 120.00
With the nearest neighbours (Å) after each atom.
Sites, in units of the cell vectors:
Li1 0.3333 0.6667 0.2500  2 Hg 2.76
Li2 0.6667 0.3333 0.7500  2 Hg 2.76
Y1 0.0000 0.0000 0.0000  6 Hg 3.05
Y2 0.0000 0.0000 0.5000  6 Hg 3.05
Hg1 0.3333 0.6667 0.5803  1 Li 2.76, 1 Hg 2.84, 3 Y 3.05
Hg2 0.3333 0.6667 0.9197  1 Li 2.76, 1 Hg 2.84, 3 Y 3.05
Hg3 0.6667 0.3333 0.0803  1 Li 2.76, 1 Hg 2.84, 3 Y 3.05
Hg4 0.6667 0.3333 0.4197  1 Li 2.76, 1 Hg 2.84, 3 Y 3.05

Properties
Energy above the lowest structure with this stoichiometry = 159.8 meV/atom
Calculated volume = 24.10 Å³/atom
ρ = 8.6 Mg/m³